Entry 1:
The following is a DFT calculation (PBE) of a relaxed structure of PaI4Cl2.

Structure (POSCAR):
```
PaI4Cl2
1.0
-4.2002 -2.4104 -2.5616
0.6727 -10.2898 8.5795
-1.0538 8.6609 -0.5635
Pa I Cl
1 4 2
Cartesian
0.0000 0.0000 0.0000
-4.4748 3.5444 -1.8563
-0.1065 -7.5838 7.3107
-2.5165 -2.0631 0.2092
-2.0648 -1.9762 5.2452
-2.9960 -4.9332 3.6961
-1.5852 0.8938 1.7583
```

Calculated values
Uncorrected energy in eV/f.u.: -25.855
Density of states at the Fermi level in states/eV/cell: 5.1
ρ in Mg/m³: 4.2
SG: No. 12

=====

Entry 2:
The following is a DFT calculation (PBE) of a relaxed structure of Cd5In3Hg2.

Structure (POSCAR):
```
Cd5In3Hg2
1.0
5.9597 0.0000 -1.7139
-1.0235 8.4607 -3.5589
-0.0333 -0.3745 11.1028
Cd In Hg
10 6 4
Cartesian
0.9782 4.2303 -2.2079
3.9581 4.2303 -3.0649
-0.7103 6.2754 3.1395
2.6333 1.8107 3.5474
5.6132 1.8107 2.6904
2.2696 6.2754 2.2826
4.7593 2.8985 5.3307
0.1436 5.1876 0.4993
1.7958 2.7634 6.2445
3.1071 5.3227 -0.4145
1.4899 0.0000 -0.4285
4.4698 0.0000 -1.2855
3.3726 2.5182 0.5087
1.5303 5.5679 5.3213
-0.2457 7.7961 -0.8545
5.1487 0.2900 6.6844
4.4868 5.6219 4.3828
0.4162 2.4642 1.4471
2.1639 0.1911 7.5242
2.7391 7.8950 -1.6942
```

Calculated values
Uncorrected energy in eV/f.u.: -12.625
Density of states at the Fermi level in states/eV/cell: 8.0
ρ in Mg/m³: 7.9
SG: No. 72

=====

Entry 3:
The following is a DFT calculation (PBE) of a relaxed structure of Er9Tm2Mg.

Structure (POSCAR):
```
Er9Tm2Mg
1.0
4.9235 0.0000 0.0000
0.0000 4.9235 0.0000
0.0000 0.0000 14.8129
Er Tm Mg
9 2 1
Cartesian
2.4618 2.4618 0.0000
2.4618 2.4618 4.8843
2.4618 2.4618 9.9286
2.4618 0.0000 2.4498
2.4618 0.0000 7.4065
2.4618 0.0000 12.3631
0.0000 2.4618 2.4498
0.0000 2.4618 7.4065
0.0000 2.4618 12.3631
0.0000 0.0000 4.9251
0.0000 0.0000 9.8878
0.0000 0.0000 0.0000
```

Calculated values
Uncorrected energy in eV/f.u.: -51.313
Density of states at the Fermi level in states/eV/cell: 16.4
ρ in Mg/m³: 8.6
SG: No. 123

=====

Entry 4:
The following is a DFT calculation (PBE) of a relaxed structure of RbPa2Cu2S6.

Structure (POSCAR):
```
RbPa2Cu2S6
1.0
-2.2092 5.0252 4.6782
-7.2701 0.3393 1.9074
5.3231 -2.4206 4.9190
Rb Pa Cu S
1 2 2 6
Cartesian
1.5570 1.3023 4.7986
0.1175 2.2774 8.6214
-4.2736 0.6664 2.8833
-1.5459 -0.7914 6.3448
-2.6103 3.7352 5.1599
-6.3637 2.2397 3.5361
-4.3786 4.6121 6.2536
-3.4149 -0.2030 5.3068
0.2225 -1.6683 5.2510
-0.7413 3.1469 6.1978
2.2075 0.7041 7.9686
```

Calculated values
Uncorrected energy in eV/f.u.: -65.815
Density of states at the Fermi level in states/eV/cell: 6.8
ρ in Mg/m³: 5.0
SG: No. 2

=====

Entry 5:
The following is a DFT calculation (PBE) of a relaxed structure of UCuS4.

Structure (POSCAR):
```
UCuS4
1.0
-1.9658 2.4677 -2.4166
-5.4978 -3.4079 0.9924
-1.5705 3.0923 4.4353
U Cu S
1 1 4
Cartesian
-1.7682 2.7800 1.0093
0.0000 0.0000 0.0000
-3.5328 3.0046 2.6742
-5.5013 -0.8524 0.3369
-1.6761 0.2272 1.5955
-5.3922 -0.5428 3.8322
```

Calculated values
Uncorrected energy in eV/f.u.: -36.068
Density of states at the Fermi level in states/eV/cell: 2.3
ρ in Mg/m³: 4.9
SG: No. 10

=====

Entry 6:
The following is a DFT calculation (PBE) of a relaxed structure of AlCu2HPd.

Structure (POSCAR):
```
AlCu2HPd
1.0
-1.4694 2.2989 2.4529
-0.9540 -2.8521 2.1015
3.6577 0.2313 1.9744
H Cu Pd Al
1 2 1 1
Cartesian
0.0000 0.0000 0.0000
-0.4770 -1.4260 1.0507
-0.7347 1.1494 1.2264
0.6172 -0.1610 3.2644
1.8289 0.1156 0.9872
```

Calculated values
Uncorrected energy in eV/f.u.: -21.507
Density of states at the Fermi level in states/eV/cell: 0.7
ρ in Mg/m³: 7.7
SG: No. 123

=====

The records above yield volume values of 45.9 27.5 29.9 26.4 24.3 11.2 Å³/atom, respectively.